The following is a DFT calculation (PBE) of crystalline Y3PN5 at its relaxed geometry.

```
data_Y3PN5
_cell_length_a 6.505
_cell_length_b 6.505
_cell_length_c 7.016
_cell_angle_alpha 117.62
_cell_angle_beta 117.62
_cell_angle_gamma 90.00
_symmetry_space_group_name_H-M 'P 1'
_symmetry_Int_Tables_number 1
loop_
_symmetry_equiv_pos_as_xyz
'x,y,z'
loop_
_atom_site_label
_atom_site_type_symbol
_atom_site_fract_x
_atom_site_fract_y
_atom_site_fract_z
N1 N 0.014 0.514 0.305
N2 N 0.791 0.014 0.305
N3 N 0.000 0.000 0.000
N4 N 0.291 0.791 0.305
N5 N 0.514 0.291 0.305
N6 N 0.486 0.709 0.695
N7 N 0.709 0.209 0.695
N8 N 0.500 0.500 0.000
N9 N 0.986 0.486 0.695
N10 N 0.209 0.986 0.695
Y1 Y 0.319 0.819 0.000
Y2 Y 0.819 0.681 0.000
Y3 Y 0.181 0.319 0.000
Y4 Y 0.250 0.250 0.500
Y5 Y 0.750 0.750 0.500
Y6 Y 0.681 0.181 0.000
P1 P 0.750 0.250 0.500
P2 P 0.250 0.750 0.500
```


The following is a DFT calculation (PBE) of crystalline YP2N at its relaxed geometry.

```
data_YP2N
_cell_length_a 6.006
_cell_length_b 6.006
_cell_length_c 5.618
_cell_angle_alpha 57.69
_cell_angle_beta 57.69
_cell_angle_gamma 90.00
_symmetry_space_group_name_H-M 'P 1'
_symmetry_Int_Tables_number 1
loop_
_symmetry_equiv_pos_as_xyz
'x,y,z'
loop_
_atom_site_label
_atom_site_type_symbol
_atom_site_fract_x
_atom_site_fract_y
_atom_site_fract_z
Y1 Y 0.000 0.000 0.000
Y2 Y 0.750 0.250 0.500
P1 P 0.506 0.125 0.250
P2 P 0.244 0.625 0.250
P3 P 0.375 0.494 0.750
P4 P 0.875 0.756 0.750
N1 N 0.250 0.750 0.500
N2 N 0.500 0.500 0.000
```


The following is a DFT calculation (PBE) of crystalline Zn3PN4 at its relaxed geometry.

```
data_Zn3PN4
_cell_length_a 4.474
_cell_length_b 4.474
_cell_length_c 5.443
_cell_angle_alpha 114.27
_cell_angle_beta 114.27
_cell_angle_gamma 90.00
_symmetry_space_group_name_H-M 'P 1'
_symmetry_Int_Tables_number 1
loop_
_symmetry_equiv_pos_as_xyz
'x,y,z'
loop_
_atom_site_label
_atom_site_type_symbol
_atom_site_fract_x
_atom_site_fract_y
_atom_site_fract_z
Zn1 Zn 0.500 0.500 0.000
Zn2 Zn 0.250 0.750 0.500
Zn3 Zn 0.750 0.250 0.500
N1 N 0.104 0.678 0.782
N2 N 0.896 0.896 0.218
N3 N 0.678 0.104 0.782
N4 N 0.322 0.322 0.218
P1 P 0.000 0.000 0.000
```

Values from the calculation:
* energy relative to the lowest polymorph listed for this composition: 0.000 eV per formula unit


The following is a DFT calculation (PBE) of crystalline Zn3PN4 at its relaxed geometry.

```
data_Zn3PN4
_cell_length_a 5.209
_cell_length_b 5.471
_cell_length_c 6.252
_cell_angle_alpha 90.00
_cell_angle_beta 90.00
_cell_angle_gamma 90.00
_symmetry_space_group_name_H-M 'P 1'
_symmetry_Int_Tables_number 1
loop_
_symmetry_equiv_pos_as_xyz
'x,y,z'
loop_
_atom_site_label
_atom_site_type_symbol
_atom_site_fract_x
_atom_site_fract_y
_atom_site_fract_z
N1 N 0.109 0.316 0.782
N2 N 0.610 0.111 0.500
N3 N 0.185 0.821 0.500
N4 N 0.609 0.684 0.718
N5 N 0.109 0.316 0.218
N6 N 0.609 0.684 0.282
N7 N 0.110 0.889 0.000
N8 N 0.685 0.179 0.000
Zn1 Zn 0.999 0.671 0.752
Zn2 Zn 0.001 0.152 0.500
Zn3 Zn 0.999 0.671 0.248
Zn4 Zn 0.499 0.329 0.252
Zn5 Zn 0.499 0.329 0.748
Zn6 Zn 0.501 0.848 0.000
P1 P 0.003 0.176 0.000
P2 P 0.503 0.824 0.500
```

Values from the calculation:
* energy relative to the lowest polymorph listed for this composition: 0.040 eV per formula unit


The following is a DFT calculation (PBE) of crystalline Zn2PN at its relaxed geometry.

```
data_Zn2PN
_cell_length_a 4.198
_cell_length_b 4.198
_cell_length_c 4.198
_cell_angle_alpha 60.00
_cell_angle_beta 60.00
_cell_angle_gamma 60.00
_symmetry_space_group_name_H-M 'P 1'
_symmetry_Int_Tables_number 1
loop_
_symmetry_equiv_pos_as_xyz
'x,y,z'
loop_
_atom_site_label
_atom_site_type_symbol
_atom_site_fract_x
_atom_site_fract_y
_atom_site_fract_z
Zn1 Zn 0.750 0.750 0.750
Zn2 Zn 0.250 0.250 0.250
N1 N 0.000 0.000 0.000
P1 P 0.500 0.500 0.500
```

Values from the calculation:
* energy relative to the lowest polymorph listed for this composition: 2.690 eV per formula unit


The following is a DFT calculation (PBE) of crystalline Zn2PN at its relaxed geometry.

```
data_Zn2PN
_cell_length_a 5.217
_cell_length_b 5.217
_cell_length_c 5.898
_cell_angle_alpha 63.75
_cell_angle_beta 63.75
_cell_angle_gamma 90.00
_symmetry_space_group_name_H-M 'P 1'
_symmetry_Int_Tables_number 1
loop_
_symmetry_equiv_pos_as_xyz
'x,y,z'
loop_
_atom_site_label
_atom_site_type_symbol
_atom_site_fract_x
_atom_site_fract_y
_atom_site_fract_z
Zn1 Zn 0.875 0.801 0.750
Zn2 Zn 0.375 0.449 0.750
Zn3 Zn 0.199 0.625 0.250
Zn4 Zn 0.551 0.125 0.250
P1 P 0.000 0.000 0.000
P2 P 0.750 0.250 0.500
N1 N 0.500 0.500 0.000
N2 N 0.250 0.750 0.500
```

Values from the calculation:
* energy relative to the lowest polymorph listed for this composition: 0.000 eV per formula unit


The following is a DFT calculation (PBE) of crystalline ZnP2N at its relaxed geometry.

```
data_ZnP2N
_cell_length_a 4.169
_cell_length_b 4.169
_cell_length_c 4.169
_cell_angle_alpha 60.00
_cell_angle_beta 60.00
_cell_angle_gamma 60.00
_symmetry_space_group_name_H-M 'P 1'
_symmetry_Int_Tables_number 1
loop_
_symmetry_equiv_pos_as_xyz
'x,y,z'
loop_
_atom_site_label
_atom_site_type_symbol
_atom_site_fract_x
_atom_site_fract_y
_atom_site_fract_z
Zn1 Zn 0.500 0.500 0.500
N1 N 0.000 0.000 0.000
P1 P 0.750 0.750 0.750
P2 P 0.250 0.250 0.250
```

Values from the calculation:
* energy relative to the lowest polymorph listed for this composition: 3.364 eV per formula unit


The following is a DFT calculation (PBE) of crystalline ZnP2N at its relaxed geometry.

```
data_ZnP2N
_cell_length_a 4.884
_cell_length_b 4.884
_cell_length_c 6.123
_cell_angle_alpha 66.50
_cell_angle_beta 66.50
_cell_angle_gamma 90.00
_symmetry_space_group_name_H-M 'P 1'
_symmetry_Int_Tables_number 1
loop_
_symmetry_equiv_pos_as_xyz
'x,y,z'
loop_
_atom_site_label
_atom_site_type_symbol
_atom_site_fract_x
_atom_site_fract_y
_atom_site_fract_z
P1 P 0.875 0.807 0.750
P2 P 0.375 0.443 0.750
P3 P 0.557 0.125 0.250
P4 P 0.193 0.625 0.250
N1 N 0.250 0.750 0.500
N2 N 0.500 0.500 0.000
Zn1 Zn 0.750 0.250 0.500
Zn2 Zn 0.000 0.000 0.000
```

Values from the calculation:
* energy relative to the lowest polymorph listed for this composition: 0.000 eV per formula unit


The following is a DFT calculation (PBE) of crystalline ZrZnPN at its relaxed geometry.

```
data_ZrZnPN
_cell_length_a 3.779
_cell_length_b 3.779
_cell_length_c 10.248
_cell_angle_alpha 79.38
_cell_angle_beta 79.38
_cell_angle_gamma 60.00
_symmetry_space_group_name_H-M 'P 1'
_symmetry_Int_Tables_number 1
loop_
_symmetry_equiv_pos_as_xyz
'x,y,z'
loop_
_atom_site_label
_atom_site_type_symbol
_atom_site_fract_x
_atom_site_fract_y
_atom_site_fract_z
Zr1 Zr 0.624 0.624 0.127
Zr2 Zr 0.376 0.376 0.873
N1 N 0.304 0.304 0.087
N2 N 0.696 0.696 0.913
P1 P 0.891 0.891 0.327
P2 P 0.109 0.109 0.673
Zn1 Zn 0.804 0.804 0.587
Zn2 Zn 0.196 0.196 0.413
```


The following is a DFT calculation (PBE) of crystalline Zr2ZnPN at its relaxed geometry.

```
data_Zr2ZnPN
_cell_length_a 5.018
_cell_length_b 3.517
_cell_length_c 5.018
_cell_angle_alpha 90.00
_cell_angle_beta 90.00
_cell_angle_gamma 90.00
_symmetry_space_group_name_H-M 'P 1'
_symmetry_Int_Tables_number 1
loop_
_symmetry_equiv_pos_as_xyz
'x,y,z'
loop_
_atom_site_label
_atom_site_type_symbol
_atom_site_fract_x
_atom_site_fract_y
_atom_site_fract_z
Zr1 Zr 0.000 0.000 0.500
Zr2 Zr 0.500 0.000 0.000
P1 P 0.500 0.500 0.500
N1 N 0.000 0.500 0.000
Zn1 Zn 0.000 0.000 0.000
```


The following is a DFT calculation (PBE) of crystalline ZrZnP2N6 at its relaxed geometry.

```
data_ZrZnP2N6
_cell_length_a 5.383
_cell_length_b 6.950
_cell_length_c 6.950
_cell_angle_alpha 82.26
_cell_angle_beta 72.80
_cell_angle_gamma 72.80
_symmetry_space_group_name_H-M 'P 1'
_symmetry_Int_Tables_number 1
loop_
_symmetry_equiv_pos_as_xyz
'x,y,z'
loop_
_atom_site_label
_atom_site_type_symbol
_atom_site_fract_x
_atom_site_fract_y
_atom_site_fract_z
Zr1 Zr 0.250 0.887 0.113
Zr2 Zr 0.750 0.113 0.887
N1 N 0.849 0.386 0.312
N2 N 0.651 0.688 0.614
N3 N 0.681 0.791 0.958
N4 N 0.158 0.607 0.155
N5 N 0.342 0.845 0.393
N6 N 0.319 0.209 0.042
N7 N 0.151 0.614 0.688
N8 N 0.658 0.155 0.607
N9 N 0.819 0.042 0.209
N10 N 0.181 0.958 0.791
N11 N 0.842 0.393 0.845
N12 N 0.349 0.312 0.386
P1 P 0.824 0.630 0.783
P2 P 0.176 0.370 0.217
P3 P 0.676 0.217 0.370
P4 P 0.324 0.783 0.630
Zn1 Zn 0.250 0.269 0.731
Zn2 Zn 0.750 0.731 0.269
```


| no. | raw formation energy (eV per atom) | calculated density (g/cm3) | magnetization (μB per formula unit) |
| --- | --- | --- | --- |
| 1 | -1.22 | 5.45 | 0.2 |
| 2 | -0.02 | 4.13 | 0.0 |
| 3 | -0.18 | 5.30 | 0.0 |
| 4 | -0.18 | 5.28 | 0.0 |
| 5 | 1.00 | 5.58 | 0.0 |
| 6 | 0.33 | 4.66 | 0.0 |
| 7 | 1.38 | 4.58 | 0.0 |
| 8 | 0.54 | 3.89 | 0.0 |
| 9 | -0.88 | 5.41 | 0.0 |
| 10 | 0.48 | 5.49 | 0.0 |
| 11 | -0.31 | 4.24 | 0.0 |